Entry 1:
{
  "formula": "Ba2AsN",
  "functional": "PBE-GGA",
  "state": "optimized geometry",
  "lattice_angstrom": [[-3.8737, 3.8737, 4.3917], [3.8737, -3.8737, 4.3917], [3.8737, 3.8737, -4.3917]],
  "species": ["Ba", "Ba", "Ba", "Ba", "As", "As", "N", "N"],
  "fractional_positions": [[0.0519, 0.1250, 0.4269], [0.3750, 0.9481, 0.0731], [0.6981, 0.6250, 0.5731], [0.8750, 0.3019, 0.9269], [0.2500, 0.7500, 0.5000], [0.5000, 0.5000, 0.0000], [0.0000, 0.0000, 0.0000], [0.7500, 0.2500, 0.5000]],
  "raw_formation_energy_ev_per_atom": -0.261,
  "spacegroup": "I-42d (122)",
  "polymorph_energy_ev_per_atom": 0.000
}



Entry 2:
{
  "formula": "Ba6As2N",
  "functional": "PBE-GGA",
  "state": "optimized geometry",
  "lattice_angstrom": [[7.4880, 0.0000, 0.0000], [0.0000, 8.8419, 0.0000], [-7.2076, 0.0000, 10.5432]],
  "species": ["Ba", "Ba", "Ba", "Ba", "Ba", "Ba", "Ba", "Ba", "Ba", "Ba", "Ba", "Ba", "As", "As", "As", "As", "N", "N"],
  "fractional_positions": [[0.1187, 0.0357, 0.2429], [0.1187, 0.4643, 0.7429], [0.2040, 0.7075, 0.0571], [0.2040, 0.7925, 0.5571], [0.3707, 0.1544, 0.0613], [0.3707, 0.3456, 0.5613], [0.6293, 0.6544, 0.4387], [0.6293, 0.8456, 0.9387], [0.7960, 0.2075, 0.4429], [0.7960, 0.2925, 0.9429], [0.8813, 0.5357, 0.2571], [0.8813, 0.9643, 0.7571], [0.3003, 0.1146, 0.7455], [0.3003, 0.3854, 0.2455], [0.6997, 0.6146, 0.7545], [0.6997, 0.8854, 0.2545], [0.0000, 0.0000, 0.0000], [0.0000, 0.5000, 0.5000]],
  "raw_formation_energy_ev_per_atom": -0.706,
  "spacegroup": "P2_1/c (14)"
}



Entry 3:
{
  "formula": "BaAsN3",
  "functional": "PBE-GGA",
  "state": "optimized geometry",
  "lattice_angstrom": [[4.5365, 0.0000, 0.0000], [0.0000, 4.5365, 0.0000], [0.0000, 0.0000, 4.5365]],
  "species": ["Ba", "As", "N", "N", "N"],
  "fractional_positions": [[0.0000, 0.0000, 0.0000], [0.5000, 0.5000, 0.5000], [0.0000, 0.0000, 0.5000], [0.0000, 0.5000, 0.0000], [0.5000, 0.0000, 0.0000]],
  "raw_formation_energy_ev_per_atom": 2.648,
  "spacegroup": "Pm-3m (221)"
}



Entry 4:
{
  "formula": "Ba8AsN4",
  "functional": "PBE-GGA",
  "state": "optimized geometry",
  "lattice_angstrom": [[7.0825, -4.0649, 0.0000], [7.0825, 4.0649, 0.0000], [-6.7242, 0.0000, 7.8425]],
  "species": ["Ba", "Ba", "Ba", "Ba", "Ba", "Ba", "Ba", "Ba", "As", "N", "N", "N", "N"],
  "fractional_positions": [[0.0026, 0.0026, 0.3213], [0.0030, 0.5224, 0.6964], [0.4776, 0.9970, 0.3036], [0.4894, 0.4894, 0.3064], [0.5106, 0.5106, 0.6936], [0.5224, 0.0030, 0.6964], [0.9970, 0.4776, 0.3036], [0.9974, 0.9974, 0.6787], [0.0000, 0.0000, 0.0000], [0.2625, 0.2625, 0.5183], [0.2657, 0.7343, 0.5000], [0.7343, 0.2657, 0.5000], [0.7375, 0.7375, 0.4817]],
  "raw_formation_energy_ev_per_atom": -0.516,
  "spacegroup": "C2/m (12)"
}